(1)
Compound: Ac8Co2Os
Source: Alexandria via LeMat-Bulk
Functional: PBE-GGA
Structure: optimized geometry

```
data_Ac8Co2Os
_space_group_name_H-M_alt 'P 1'
_space_group_IT_number 1
_space_group_name_Hall 'P 1'
_cell_length_a 7.106
_cell_length_b 7.900
_cell_length_c 7.900
_cell_angle_alpha 64.71
_cell_angle_beta 89.34
_cell_angle_gamma 89.34
loop_
_atom_site_label
_atom_site_type_symbol
_atom_site_fract_x
_atom_site_fract_y
_atom_site_fract_z
Ac1 Ac 0.166 0.612 0.133
Ac2 Ac 0.664 0.878 0.878
Ac3 Ac 0.324 0.633 0.633
Ac4 Ac 0.834 0.388 0.867
Ac5 Ac 0.834 0.867 0.388
Os1 Os 0.000 0.000 0.000
Ac6 Ac 0.336 0.122 0.122
Co1 Co 0.983 0.231 0.231
Ac7 Ac 0.676 0.367 0.367
Ac8 Ac 0.166 0.133 0.612
Co2 Co 0.017 0.769 0.769
```

## Properties
E_form ... -0.018 eV/atom
D(E_F) ... 0.961 states/eV per atom
Space-group type ... No. 12
VASP energy ... -58.51 eV/cell
Calculated density ... 8.8 g/cm3


(2)
Compound: AcCoSi3Os
Source: Alexandria via LeMat-Bulk
Functional: PBE-GGA
Structure: optimized geometry

```
data_AcCoSi3Os
_space_group_name_H-M_alt 'P 1'
_space_group_IT_number 1
_space_group_name_Hall 'P 1'
_cell_length_a 5.755
_cell_length_b 7.072
_cell_length_c 6.657
_cell_angle_alpha 122.09
_cell_angle_beta 90.00
_cell_angle_gamma 90.00
loop_
_atom_site_label
_atom_site_type_symbol
_atom_site_fract_x
_atom_site_fract_y
_atom_site_fract_z
Os1 Os 0.250 0.438 0.877
Si1 Si 0.250 0.240 0.480
Co1 Co 0.750 0.944 0.888
Si2 Si 0.500 0.239 0.000
Co2 Co 0.250 0.056 0.112
Si3 Si 0.000 0.761 0.000
Si4 Si 0.500 0.761 0.000
Ac1 Ac 0.750 0.248 0.495
Os2 Os 0.750 0.562 0.123
Si5 Si 0.750 0.760 0.520
Ac2 Ac 0.250 0.752 0.505
Si6 Si 0.000 0.239 0.000
```

## Properties
D(E_F) ... 0.644 states/eV per atom
Space-group type ... No. 63
VASP energy ... -81.93 eV/cell
Calculated density ... 8.1 g/cm3
E_form (uncorrected) ... -0.375 eV per atom


(3)
Compound: Ac2Co5P4
Source: Alexandria via LeMat-Bulk
Functional: PBE-GGA
Structure: optimized geometry

```
data_Ac2Co5P4
_space_group_name_H-M_alt 'P 1'
_space_group_IT_number 1
_space_group_name_Hall 'P 1'
_cell_length_a 5.416
_cell_length_b 5.706
_cell_length_c 6.960
_cell_angle_alpha 79.36
_cell_angle_beta 67.10
_cell_angle_gamma 61.67
loop_
_atom_site_label
_atom_site_type_symbol
_atom_site_fract_x
_atom_site_fract_y
_atom_site_fract_z
P1 P 0.463 0.326 0.748
P2 P 0.211 0.326 0.252
P3 P 0.537 0.674 0.252
Co1 Co 0.250 0.500 0.500
P4 P 0.789 0.674 0.748
Co2 Co 0.500 0.000 0.000
Co3 Co 0.000 0.500 0.000
Ac1 Ac 0.140 0.000 0.719
Ac2 Ac 0.860 0.000 0.281
Co4 Co 0.500 0.500 0.000
Co5 Co 0.750 0.500 0.500
```

## Properties
E_form ... -0.721 eV/atom
D(E_F) ... 0.695 states/eV per atom
Space-group type ... No. 69
VASP energy ... -73.32 eV/cell
Calculated density ... 8.3 g/cm3


(4)
Compound: AcCoP2
Source: Alexandria via LeMat-Bulk
Functional: PBE-GGA
Structure: optimized geometry

```
data_AcCoP2
_space_group_name_H-M_alt 'P 1'
_space_group_IT_number 1
_space_group_name_Hall 'P 1'
_cell_length_a 4.003
_cell_length_b 4.003
_cell_length_c 5.777
_cell_angle_alpha 110.27
_cell_angle_beta 110.27
_cell_angle_gamma 90.01
loop_
_atom_site_label
_atom_site_type_symbol
_atom_site_fract_x
_atom_site_fract_y
_atom_site_fract_z
Ac1 Ac 0.221 0.881 0.228
Co1 Co 0.471 0.631 0.728
P1 P 0.880 0.540 0.547
P2 P 0.562 0.222 0.910
```

## Properties
E_form ... -0.806 eV/atom
D(E_F) ... 0.752 states/eV per atom
Distance to the lowest polymorph of the same formula ... 0.000 eV per atom
Space-group type ... No. 119
VASP energy ... -25.26 eV/cell
Calculated density ... 7.2 g/cm3


(5)
Compound: Ac8Co3P
Source: Alexandria via LeMat-Bulk
Functional: PBE-GGA
Structure: optimized geometry

```
data_Ac8Co3P
_space_group_name_H-M_alt 'P 1'
_space_group_IT_number 1
_space_group_name_Hall 'P 1'
_cell_length_a 8.617
_cell_length_b 8.619
_cell_length_c 8.409
_cell_angle_alpha 120.78
_cell_angle_beta 90.00
_cell_angle_gamma 119.99
loop_
_atom_site_label
_atom_site_type_symbol
_atom_site_fract_x
_atom_site_fract_y
_atom_site_fract_z
P1 P 0.000 0.000 0.000
Ac1 Ac 0.748 0.018 0.767
Ac2 Ac 0.748 0.497 0.767
Ac3 Ac 0.252 0.503 0.233
Co1 Co 0.000 0.500 0.000
Ac4 Ac 0.257 0.514 0.770
Co2 Co 0.500 0.500 0.000
Ac5 Ac 0.730 0.982 0.233
Ac6 Ac 0.252 0.982 0.233
Ac7 Ac 0.743 0.486 0.230
Ac8 Ac 0.270 0.018 0.767
Co3 Co 0.500 0.000 0.000
```

## Properties
E_form ... -0.214 eV/atom
D(E_F) ... 0.842 states/eV per atom
Space-group type ... No. 166
VASP energy ... -62.17 eV/cell
Calculated density ... 7.7 g/cm3


(6)
Compound: AcCoP2
Source: Alexandria via LeMat-Bulk
Functional: PBE-GGA
Structure: optimized geometry

```
data_AcCoP2
_space_group_name_H-M_alt 'P 1'
_space_group_IT_number 1
_space_group_name_Hall 'P 1'
_cell_length_a 3.758
_cell_length_b 3.758
_cell_length_c 7.673
_cell_angle_alpha 75.83
_cell_angle_beta 75.83
_cell_angle_gamma 60.00
loop_
_atom_site_label
_atom_site_type_symbol
_atom_site_fract_x
_atom_site_fract_y
_atom_site_fract_z
Co1 Co 0.500 0.500 0.500
P1 P 0.865 0.865 0.405
Ac1 Ac 0.000 0.000 0.000
P2 P 0.135 0.135 0.595
```

## Properties
E_form ... -0.193 eV/atom
D(E_F) ... 0.722 states/eV per atom
Distance to the lowest polymorph of the same formula ... 0.613 eV per atom
Space-group type ... No. 166
VASP energy ... -22.80 eV/cell
Calculated density ... 6.4 g/cm3


(7)
Compound: AcCo3P3
Source: Alexandria via LeMat-Bulk
Functional: PBE-GGA
Structure: optimized geometry

```
data_AcCo3P3
_space_group_name_H-M_alt 'P 1'
_space_group_IT_number 1
_space_group_name_Hall 'P 1'
_cell_length_a 6.409
_cell_length_b 6.409
_cell_length_c 7.996
_cell_angle_alpha 66.37
_cell_angle_beta 66.37
_cell_angle_gamma 60.00
loop_
_atom_site_label
_atom_site_type_symbol
_atom_site_fract_x
_atom_site_fract_y
_atom_site_fract_z
Ac1 Ac 0.667 0.667 0.999
P1 P 0.417 0.107 0.694
P2 P 0.217 0.583 0.306
Co1 Co 0.877 0.526 0.384
P3 P 0.107 0.783 0.694
Ac2 Ac 0.333 0.333 0.001
Co2 Co 0.212 0.877 0.384
P4 P 0.583 0.893 0.306
Co3 Co 0.474 0.788 0.616
Co4 Co 0.123 0.474 0.616
P5 P 0.893 0.217 0.306
Co5 Co 0.526 0.212 0.384
Co6 Co 0.788 0.123 0.616
P6 P 0.783 0.417 0.694
```

## Properties
E_form ... -0.650 eV/atom
D(E_F) ... 0.841 states/eV per atom
Space-group type ... No. 148
VASP energy ... -92.41 eV/cell
Calculated density ... 6.5 g/cm3


(8)
Compound: AcCo2P2
Source: Alexandria via LeMat-Bulk
Functional: PBE-GGA
Structure: optimized geometry

```
data_AcCo2P2
_space_group_name_H-M_alt 'P 1'
_space_group_IT_number 1
_space_group_name_Hall 'P 1'
_cell_length_a 3.799
_cell_length_b 3.799
_cell_length_c 6.452
_cell_angle_alpha 107.12
_cell_angle_beta 107.12
_cell_angle_gamma 90.00
loop_
_atom_site_label
_atom_site_type_symbol
_atom_site_fract_x
_atom_site_fract_y
_atom_site_fract_z
P1 P 0.349 0.349 0.697
Co1 Co 0.250 0.750 0.500
P2 P 0.651 0.651 0.303
Ac1 Ac 0.000 0.000 0.000
Co2 Co 0.750 0.250 0.500
```

## Properties
E_form ... -0.937 eV/atom
D(E_F) ... 0.746 states/eV per atom
Distance to the lowest polymorph of the same formula ... 0.000 eV per atom
Space-group type ... No. 139
VASP energy ... -33.82 eV/cell
Calculated density ... 8.0 g/cm3


(9)
Compound: AcCo4P4
Source: Alexandria via LeMat-Bulk
Functional: PBE-GGA
Structure: optimized geometry

```
data_AcCo4P4
_space_group_name_H-M_alt 'P 1'
_space_group_IT_number 1
_space_group_name_Hall 'P 1'
_cell_length_a 4.346
_cell_length_b 7.767
_cell_length_c 7.767
_cell_angle_alpha 90.00
_cell_angle_beta 90.00
_cell_angle_gamma 90.00
loop_
_atom_site_label
_atom_site_type_symbol
_atom_site_fract_x
_atom_site_fract_y
_atom_site_fract_z
Co1 Co 0.000 0.384 0.122
Co2 Co 0.500 0.622 0.116
Co3 Co 0.500 0.378 0.884
P1 P 0.000 0.655 0.196
P2 P 0.500 0.696 0.845
P3 P 0.000 0.345 0.804
Co4 Co 0.500 0.116 0.378
Co5 Co 0.000 0.878 0.384
Co6 Co 0.000 0.122 0.616
Co7 Co 0.500 0.884 0.622
Ac1 Ac 0.500 0.500 0.500
Ac2 Ac 0.000 0.000 0.000
Co8 Co 0.000 0.616 0.878
P4 P 0.500 0.155 0.696
P5 P 0.000 0.804 0.655
P6 P 0.500 0.845 0.304
P7 P 0.500 0.304 0.155
P8 P 0.000 0.196 0.345
```

## Properties
E_form ... -0.645 eV/atom
D(E_F) ... 0.695 states/eV per atom
Space-group type ... No. 87
VASP energy ... -119.95 eV/cell
Calculated density ... 7.4 g/cm3


(10)
Compound: Ac2Co12P7
Source: Alexandria via LeMat-Bulk
Functional: PBE-GGA
Structure: optimized geometry

```
data_Ac2Co12P7
_space_group_name_H-M_alt 'P 1'
_space_group_IT_number 1
_space_group_name_Hall 'P 1'
_cell_length_a 3.692
_cell_length_b 9.235
_cell_length_c 9.235
_cell_angle_alpha 120.00
_cell_angle_beta 90.00
_cell_angle_gamma 90.00
loop_
_atom_site_label
_atom_site_type_symbol
_atom_site_fract_x
_atom_site_fract_y
_atom_site_fract_z
P1 P 0.500 0.429 0.055
Co1 Co 0.000 0.763 0.724
Co2 Co 0.000 0.276 0.040
P2 P 0.000 0.038 0.766
Co3 Co 0.500 0.212 0.445
Co4 Co 0.000 0.479 0.933
P3 P 0.000 0.234 0.272
Co5 Co 0.500 0.555 0.767
Co6 Co 0.000 0.067 0.546
P4 P 0.500 0.945 0.374
Co7 Co 0.500 0.233 0.788
Co8 Co 0.500 0.383 0.290
Co9 Co 0.500 0.906 0.617
Co10 Co 0.000 0.454 0.521
Co11 Co 0.500 0.710 0.094
Co12 Co 0.000 0.960 0.237
P5 P 0.500 0.626 0.571
P6 P 0.000 0.333 0.667
Ac1 Ac 0.500 0.000 0.000
Ac2 Ac 0.000 0.667 0.333
P7 P 0.000 0.728 0.962
```

## Properties
E_form ... -0.626 eV/atom
D(E_F) ... 0.653 states/eV per atom
Space-group type ... No. 174
VASP energy ... -144.50 eV/cell
Calculated density ... 8.4 g/cm3